This record from Alexandria describes a relaxed BeRh2Cl crystal. The functional is PBE-GGA.

POSCAR file:
```
BeRh2Cl
1.0
-1.425 2.030 4.817
1.425 -2.030 4.817
1.425 2.030 -4.817
Be Rh Cl
1 2 1
direct
0.000 0.000 0.000 Be
0.192 0.692 0.500 Rh
0.808 0.308 0.500 Rh
0.500 0.500 0.000 Cl
```

Values from the calculation:
Distance to the lowest polymorph of the same formula ... 2.05 eV/f.u.
M_tot ... 0.000 μB/cell
ΔE_f (raw) ... 223 meV per atom

This record from Alexandria describes a relaxed Be2RhCl crystal. The functional is PBE-GGA.

POSCAR file:
```
Be2RhCl
1.0
2.926 0.000 0.000
0.000 2.926 0.000
0.000 0.000 6.110
Be Rh Cl
2 1 1
direct
0.000 0.000 0.188 Be
0.000 0.000 0.812 Be
0.500 0.500 0.000 Rh
0.500 0.500 0.500 Cl
```

Values from the calculation:
Distance to the lowest polymorph of the same formula ... 1.14 eV/f.u.
M_tot ... 0.000 μB/cell
ΔE_f (raw) ... -191 meV per atom

This record from Alexandria describes a relaxed Be2RhCl2 crystal. The functional is PBE-GGA.

POSCAR file:
```
Be2RhCl2
1.0
-2.235 2.235 3.644
2.235 -2.235 3.644
2.235 2.235 -3.644
Be Rh Cl
2 1 2
direct
0.250 0.750 0.500 Be
0.750 0.250 0.500 Be
0.000 0.000 0.000 Rh
0.310 0.310 0.000 Cl
0.690 0.690 0.000 Cl
```

Values from the calculation:
M_tot ... 0.000 μB/cell
ΔE_f (raw) ... 403 meV per atom

This record from Alexandria describes a relaxed BeRh2Cl crystal. The functional is PBE-GGA.

POSCAR file:
```
BeRh2Cl
1.0
1.511 0.872 6.916
-1.511 0.872 6.916
0.000 -1.745 6.916
Be Rh Cl
1 2 1
direct
0.000 0.000 0.000 Be
0.264 0.264 0.264 Rh
0.736 0.736 0.736 Rh
0.500 0.500 0.500 Cl
```

Values from the calculation:
Distance to the lowest polymorph of the same formula ... 1.40 eV/f.u.
M_tot ... 0.040 μB/cell
ΔE_f (raw) ... 60 meV per atom

This record from Alexandria describes a relaxed BeRhCl crystal. The functional is PBE-GGA.

POSCAR file:
```
BeRhCl
1.0
2.977 0.000 0.000
0.005 3.400 0.000
1.480 0.542 9.680
Be Rh Cl
2 2 2
direct
0.000 0.000 0.000 Be
0.391 0.966 0.239 Be
0.548 0.521 0.912 Rh
0.931 0.466 0.154 Rh
0.141 0.536 0.726 Cl
0.817 0.092 0.386 Cl
```

Values from the calculation:
Distance to the lowest polymorph of the same formula ... 0.47 eV/f.u.
M_tot ... 0.000 μB/cell
ΔE_f (raw) ... -408 meV per atom

This record from Alexandria describes a relaxed Be2RhCl crystal. The functional is PBE-GGA.

POSCAR file:
```
Be2RhCl
1.0
3.066 0.000 0.000
0.000 3.099 0.000
-0.179 0.000 6.711
Be Rh Cl
2 1 1
direct
0.000 0.000 0.000 Be
0.020 0.500 0.324 Be
0.504 0.500 0.063 Rh
0.032 0.000 0.519 Cl
```

Values from the calculation:
Distance to the lowest polymorph of the same formula ... 0.34 eV/f.u.
M_tot ... 0.000 μB/cell
ΔE_f (raw) ... -391 meV per atom

This record from Alexandria describes a relaxed BeRhCl3 crystal. The functional is PBE-GGA.

POSCAR file:
```
BeRhCl3
1.0
4.488 0.000 0.000
0.000 4.488 0.000
0.000 0.000 4.488
Be Rh Cl
1 1 3
direct
0.000 0.000 0.000 Be
0.500 0.500 0.500 Rh
0.000 0.000 0.500 Cl
0.000 0.500 0.000 Cl
0.500 0.000 0.000 Cl
```

Values from the calculation:
Distance to the lowest polymorph of the same formula ... 0.00 eV/f.u.
M_tot ... 2.000 μB/cell
ΔE_f (raw) ... -17 meV per atom

This record from Alexandria describes a relaxed BeRh2Cl crystal. The functional is PBE-GGA.

POSCAR file:
```
BeRh2Cl
1.0
2.895 0.000 0.000
0.000 2.895 0.000
0.000 0.000 7.353
Be Rh Cl
1 2 1
direct
0.000 0.000 0.000 Be
0.000 0.000 0.605 Rh
0.500 0.500 0.856 Rh
0.500 0.500 0.371 Cl
```

Values from the calculation:
Distance to the lowest polymorph of the same formula ... 1.67 eV/f.u.
M_tot ... 1.834 μB/cell
ΔE_f (raw) ... 128 meV per atom

This record from Alexandria describes a relaxed BeRhCl crystal. The functional is PBE-GGA.

POSCAR file:
```
BeRhCl
1.0
6.470 0.000 0.000
0.000 3.571 0.000
0.000 0.000 8.772
Be Rh Cl
4 4 4
direct
0.087 0.250 0.018 Be
0.413 0.750 0.518 Be
0.587 0.250 0.482 Be
0.913 0.750 0.982 Be
0.248 0.750 0.929 Rh
0.252 0.250 0.429 Rh
0.748 0.750 0.571 Rh
0.752 0.250 0.071 Rh
0.158 0.750 0.674 Cl
0.342 0.250 0.174 Cl
0.658 0.750 0.826 Cl
0.842 0.250 0.326 Cl
```

Values from the calculation:
Distance to the lowest polymorph of the same formula ... 1.39 eV/f.u.
M_tot ... 0.000 μB/cell
ΔE_f (raw) ... -100 meV per atom

This record from Alexandria describes a relaxed BeRh2Cl crystal. The functional is PBE-GGA.

POSCAR file:
```
BeRh2Cl
1.0
-1.996 1.996 7.429
1.996 -1.996 7.429
1.996 1.996 -7.429
Be Rh Cl
2 4 2
direct
0.000 0.000 0.000 Be
0.750 0.250 0.500 Be
0.119 0.625 0.994 Rh
0.375 0.369 0.494 Rh
0.631 0.125 0.006 Rh
0.875 0.881 0.506 Rh
0.250 0.750 0.500 Cl
0.500 0.500 0.000 Cl
```

Values from the calculation:
Distance to the lowest polymorph of the same formula ... 2.54 eV/f.u.
M_tot ... 0.000 μB/cell
ΔE_f (raw) ... 346 meV per atom

This record from Alexandria describes a relaxed BeRhCl crystal. The functional is PBE-GGA.

POSCAR file:
```
BeRhCl
1.0
2.927 0.000 0.000
1.460 4.121 0.000
1.400 0.023 9.380
Be Rh Cl
2 2 2
direct
0.000 0.000 0.000 Be
0.192 0.470 0.150 Be
0.457 0.901 0.190 Rh
0.678 0.327 0.330 Rh
0.530 0.082 0.853 Cl
0.977 0.561 0.506 Cl
```

Values from the calculation:
Distance to the lowest polymorph of the same formula ... 0.83 eV/f.u.
M_tot ... 0.001 μB/cell
ΔE_f (raw) ... -286 meV per atom

This record from Alexandria describes a relaxed BeRh2Cl crystal. The functional is PBE-GGA.

POSCAR file:
```
BeRh2Cl
1.0
2.894 0.000 0.000
0.000 3.663 0.000
1.383 0.023 12.371
Be Rh Cl
2 4 2
direct
0.000 0.000 0.000 Be
0.184 0.003 0.616 Be
0.091 0.002 0.810 Rh
0.232 0.503 0.512 Rh
0.542 0.501 0.912 Rh
0.645 0.503 0.696 Rh
0.446 0.992 0.113 Cl
0.803 0.498 0.363 Cl
```

Values from the calculation:
Distance to the lowest polymorph of the same formula ... 0.12 eV/f.u.
M_tot ... 0.750 μB/cell
ΔE_f (raw) ... -260 meV per atom

no.,calculated total energy (eV for the cell shown),density (g cm⁻³),Fermi-level density of states (states/eV/cell)
1,-19.38,7.45,3.799
2,-17.41,4.96,1.309
3,-16.48,4.38,1.606
4,-20.04,7.60,5.505
5,-28.30,5.00,1.653
6,-18.21,4.07,0.492
7,-16.70,4.01,3.915
8,-19.76,6.74,3.709
9,-52.90,4.83,0.118
10,-37.78,7.02,6.757
11,-27.57,4.33,5.016
12,-42.63,6.34,6.391